Density functional theory data (PBE-GGA) for GaCoSb2 after structural relaxation.

## Properties
**Formation energy (no corrections)**: 2.1 eV/f.u.
**Space group**: R-3m, No. 166
**DOS(E_F)**: 4.5 states/eV per cell
**Crystal system**: trigonal
**Raw total energy**: -4.0703 eV per atom

a b c (Å): 10.6892 10.6892 10.6892
angles (deg): 16.98 16.98 16.98
Last column: nearest neighbours and their distance in Å.
Fractional coordinates of all 4 atoms:
Ga  0.0000  0.0000  0.0000  6 Ga 3.16, 6 Sb 3.33
Co  0.5000  0.5000  0.5000  2 Sb 2.48
Sb  0.4215  0.4215  0.4215  1 Co 2.48
Sb  0.5785  0.5785  0.5785  1 Co 2.48

=====

Density functional theory data (PBE-GGA) for GaCo2Sb after structural relaxation.

## Properties
**Formation energy (no corrections)**: 0.1 eV/f.u.
**Space group**: Fm-3m, No. 225
**DOS(E_F)**: 9.8 states/eV per cell
**Crystal system**: cubic
**Raw total energy**: -5.3055 eV per atom

a b c (Å): 4.2996 4.2996 4.2996
angles (deg): 60.00 60.00 60.00
Last column: nearest neighbours and their distance in Å.
Fractional coordinates of all 4 atoms:
Ga  0.0000  0.0000  0.0000  8 Co 2.63
Co  0.2500  0.2500  0.2500  4 Sb 2.63, 4 Ga 2.63
Co  0.7500  0.7500  0.7500  4 Sb 2.63, 4 Ga 2.63
Sb  0.5000  0.5000  0.5000  8 Co 2.63

=====

> Which of these has the highest formation energy (no corrections)?

GaCoSb2